Record 1
Below is a relaxed structure of Zr4Sb2CN, with properties calculated at the PBE level.

The structure belongs to space group P-3m1 (No. 164); the cell edges are 3.4664, 3.4664 and 13.7205 Å and the angles 90.00°, 90.00° and 120.00°. The inequivalent atoms are Zr at (0.3333, 0.6667, 0.0893), Zr at (0.3333, 0.6667, 0.4152), Sb at (0.3333, 0.6667, 0.7467), C at (0.0000, 0.0000, 0.0000) and N at (0.0000, 0.0000, 0.5000).

The uncorrected energy comes out at -0.31031 hartree per atom. For the density, the calculation gives 7.38 Mg/m³. For the magnetic moment, the calculation gives 0.005 μB per formula unit.

Record 2
Below is a relaxed structure of TbPuPa, with properties calculated at the PBE level.

The structure belongs to space group F-43m (No. 216); the cell edges are 6.7718, 6.7718 and 6.7718 Å and the angles 90.00°, 90.00° and 90.00°. The inequivalent atoms are Tb at (0.0000, 0.0000, 0.0000), Pu at (0.2500, 0.2500, 0.7500) and Pa at (0.0000, 0.0000, 0.5000).

The uncorrected energy comes out at -0.31703 hartree per atom. For the density, the calculation gives 13.56 Mg/m³. For the magnetic moment, the calculation gives 8.082 μB per formula unit.

Record 3
Below is a relaxed structure of LaNdGa2Au2, with properties calculated at the PBE level.

The structure belongs to space group P-6m2 (No. 187); the cell edges are 4.6346, 4.6346 and 7.5198 Å and the angles 90.00°, 90.00° and 120.00°. The inequivalent atoms are La at (0.0000, 0.0000, 0.0000), Nd at (0.0000, 0.0000, 0.5000), Ga at (0.3333, 0.6667, 0.2265) and Au at (0.6667, 0.3333, 0.2659).

The uncorrected energy comes out at -0.16550 hartree per atom. For the density, the calculation gives 9.69 Mg/m³. For the magnetic moment, the calculation gives 0.011 μB per formula unit.

Record 4
Below is a relaxed structure of SmZn3CuAu, with properties calculated at the PBE level.

The structure belongs to space group P-6m2 (No. 187); the cell edges are 5.3102, 5.3102 and 4.3542 Å and the angles 90.00°, 90.00° and 120.00°. The inequivalent atoms are Sm at (0.0000, 0.0000, 0.0000), Zn at (0.0091, 0.5045, 0.5000), Cu at (0.3333, 0.6667, 0.0000) and Au at (0.6667, 0.3333, 0.0000).

The uncorrected energy comes out at -0.10967 hartree per atom. For the density, the calculation gives 9.48 Mg/m³. For the magnetic moment, the calculation gives 0.002 μB per formula unit.

Record 5
Below is a relaxed structure of Cu3Ag, with properties calculated at the PBE level.

The structure belongs to space group C2/m (No. 12); the cell edges are 8.7497, 2.7053 and 9.2294 Å and the angles 90.00°, 101.01° and 90.00°. The inequivalent atoms are Cu at (0.0000, 0.0000, 0.0000), Cu at (0.0000, 0.0000, 0.5000), Cu at (0.0134, 0.5000, 0.2678), Cu at (0.2431, 0.5000, 0.6112) and Ag at (0.2428, 0.0000, 0.8621).

The uncorrected energy comes out at -0.12544 hartree per atom. For the density, the calculation gives 9.25 Mg/m³.

Record 6
Below is a relaxed structure of SmAg2P2, with properties calculated at the PBE level.

The structure belongs to space group I4/mmm (No. 139); the cell edges are 4.0313, 4.0313 and 11.7075 Å and the angles 90.00°, 90.00° and 90.00°. The inequivalent atoms are Sm at (0.0000, 0.0000, 0.0000), Ag at (0.0000, 0.5000, 0.2500) and P at (0.0000, 0.0000, 0.3999).

The uncorrected energy comes out at -0.17287 hartree per atom. For the density, the calculation gives 7.47 Mg/m³. For the magnetic moment, the calculation gives 0.028 μB per formula unit.

Q: What is the uncorrected energy in the fifth record?
A: -0.12544 hartree per atom